Entry 1:
## CoPW2 (PBE-GGA)

Data for crystalline CoPW2 at its relaxed geometry.

The energy of formation from the pure elements comes out at 391 meV per atom. Its total magnetization is 1.81 μB/cell.

POSCAR file:
```
CoPW2
1.0
0.000 3.035 3.035
3.035 0.000 3.035
3.035 3.035 0.000
Co P W
1 1 2
direct
0.000 0.000 0.000
0.250 0.250 0.250
0.500 0.500 0.500
0.750 0.750 0.750
```

***

Entry 2:
## KZrCr2 (PBE-GGA)

Data for crystalline KZrCr2 at its relaxed geometry.

The energy of formation from the pure elements comes out at 1217 meV per atom. The calculation puts the relative energy among the computed polymorphs at 0.621 eV/atom. Its total magnetization is 0.00 μB/cell.

POSCAR file:
```
KZrCr2
1.0
2.722 0.000 0.000
0.000 2.722 0.000
0.000 0.000 10.522
K Zr Cr
1 1 2
direct
0.000 0.000 0.000
0.000 0.000 0.500
0.500 0.500 0.287
0.500 0.500 0.713
```

***

Entry 3:
## Nd13Tm3 (PBE-GGA)

Data for crystalline Nd13Tm3 at its relaxed geometry.

The energy of formation from the pure elements comes out at 32 meV per atom. The calculation puts the relative energy among the computed polymorphs at 0.017 eV/atom. Its total magnetization is 0.00 μB/cell.

POSCAR file:
```
Nd13Tm3
1.0
7.371 0.000 0.000
0.000 5.882 6.378
0.000 -5.882 6.378
Nd Tm
13 3
direct
0.000 0.000 0.000
0.000 0.424 0.915
0.000 0.503 0.503
0.000 0.915 0.424
0.250 0.250 0.250
0.252 0.165 0.672
0.252 0.672 0.165
0.500 0.420 0.916
0.500 0.504 0.504
0.500 0.916 0.420
0.748 0.165 0.672
0.748 0.672 0.165
0.750 0.250 0.250
0.251 0.754 0.754
0.500 0.999 0.999
0.749 0.754 0.754
```

***

Question: energy of formation from the pure elements of number 3 (Nd13Tm3)?
Answer: 32 meV per atom

***

Question: What is the energy of formation from the pure elements in the first record?
Answer: 391 meV per atom

***

Question: The highest energy of formation from the pure elements belongs to which entry?
Answer: KZrCr2

***

Question: What is the energy of formation from the pure elements in the first record?
Answer: 391 meV per atom